The following is a PBE calculation of LaAlCo after structural relaxation, from Alexandria.

For the total energy, the calculation gives -5.61 eV per atom. For the calculated formation energy, the calculation gives -0.35 eV/atom.

It has space group P-1 (No. 2), with a = 3.9648 Å, b = 5.8491 Å, c = 6.1143 Å, α = 95.40°, β = 108.55° and γ = 109.63°. The distinct sites, in fractional coordinates, are La at (0.2414, 0.1782, 0.3112), Al at (0.3801, 0.6678, 0.0926) and Co at (0.0433, 0.4058, 0.6781).


The following is a PBE calculation of Zn2IrRu after structural relaxation, from Alexandria.

The energy above the most stable polymorph in this dataset comes out at 0.1580 eV/atom. For the total energy, the calculation gives -5.08 eV per atom. For the calculated formation energy, the calculation gives 0.09 eV/atom.

It has space group F-43m (No. 216), with a = 6.1216 Å, b = 6.1216 Å, c = 6.1216 Å, α = 90.00°, β = 90.00° and γ = 90.00°. The distinct sites, in fractional coordinates, are Zn at (0.0000, 0.0000, 0.0000), Zn at (0.2500, 0.2500, 0.2500), Ir at (0.2500, 0.2500, 0.7500) and Ru at (0.0000, 0.0000, 0.5000).


The following is a PBE calculation of La12Ru3C5 after structural relaxation, from Alexandria.

For the total energy, the calculation gives -6.68 eV per atom. For the calculated formation energy, the calculation gives -0.03 eV/atom.

It has space group Ia-3d (No. 230), with a = 16.1790 Å, b = 16.1790 Å, c = 16.1790 Å, α = 90.00°, β = 90.00° and γ = 90.00°. The distinct sites, in fractional coordinates, are La at (0.0237, 0.0542, 0.6537), Ru at (0.0000, 0.2500, 0.1250), C at (0.0000, 0.0000, 0.0000) and C at (0.0000, 0.2500, 0.3750).


The following is a PBE calculation of Pr2TlCl8 after structural relaxation, from Alexandria.

The energy above the most stable polymorph in this dataset comes out at 0.0000 eV/atom. For the total energy, the calculation gives -4.26 eV per atom. The formation energy without anion corrections comes out at -1.8293 eV/atom.

It has space group C2/m (No. 12), with a = 8.7496 Å, b = 13.8446 Å, c = 5.3748 Å, α = 90.00°, β = 90.10° and γ = 90.00°. The distinct sites, in fractional coordinates, are Pr at (0.0000, 0.1971, 0.0000), Tl at (0.0000, 0.5000, 0.5000), Cl at (0.0004, 0.0000, 0.2544), Cl at (0.0000, 0.2458, 0.5000) and Cl at (0.1922, 0.3662, 0.0013).


The following is a PBE calculation of TlCdRh2 after structural relaxation, from Alexandria.

The energy above the most stable polymorph in this dataset comes out at 0.1067 eV/atom. For the total energy, the calculation gives -4.44 eV per atom. For the calculated formation energy, the calculation gives 0.06 eV/atom.

It has space group Cm (No. 8), with a = 10.2536 Å, b = 3.0438 Å, c = 4.8047 Å, α = 90.00°, β = 108.34° and γ = 90.00°. The distinct sites, in fractional coordinates, are Tl at (0.0000, 0.0000, 0.0000), Cd at (0.2798, 0.5000, 0.3901), Rh at (0.0301, 0.5000, 0.5127) and Rh at (0.2498, 0.0000, 0.8759).


The following is a PBE calculation of TiNb6Pt after structural relaxation, from Alexandria.

For the total energy, the calculation gives -9.53 eV per atom. For the calculated formation energy, the calculation gives -0.23 eV/atom.

It has space group Amm2 (No. 38), with a = 4.5385 Å, b = 9.4451 Å, c = 6.5365 Å, α = 90.00°, β = 90.00° and γ = 90.00°. The distinct sites, in fractional coordinates, are Ti at (0.0000, 0.0000, 0.0000), Nb at (0.0000, 0.0000, 0.5081), Nb at (0.0000, 0.2489, 0.2532), Nb at (0.5000, 0.0000, 0.7547), Nb at (0.5000, 0.2490, 0.0027) and Pt at (0.5000, 0.0000, 0.2487).